AlReSb2, relaxed, DFT PBEsol; formation energy (no corrections) = 1.69 eV per formula unit; mass density = 9.11 g/cm³; E_tot = -6.21 eV per atom; space group = No. 44
1.0
3.135 0.000 0.000
0.000 4.377 0.000
-1.568 -2.188 6.065
Al Re Sb
1 1 2
Cartesian
1.568 2.188 0.841
0.000 2.188 3.145
1.568 2.188 5.398
1.568 0.000 2.745

***

NaCu2Bi2, relaxed, DFT PBEsol; energy of formation = 64 kJ/mol of formula units; distance to the lowest polymorph of the same formula = 54 meV per atom; mass density = 8.05 g/cm³; E_tot = -3.60 eV per atom; space group = No. 139
1.0
-1.417 4.581 0.617
-4.618 -1.374 -0.399
2.807 -2.336 4.847
Cu Na Bi
2 1 2
Cartesian
-3.068 1.429 1.291
-0.160 -0.558 3.774
0.000 0.000 0.000
-2.414 -1.053 2.278
-0.814 1.924 2.786

***

Number 1: M_tot 0.0 μB per cell. Number 2: M_tot 0.0 μB per cell.